Below is a relaxed CsEr2Cu3TeS4 crystal, with properties calculated at the PBE level.

a = 7.3460 Å, b = 7.3460 Å, c = 17.2921 Å
α = 90.00°, β = 90.00°, γ = 148.13°
Last column: nearest neighbours and their distance in Å.
Atoms (fractional coordinates):
Cs  0.0498  0.9502  0.7500  2 Cu 3.38, 2 Te 3.54, 6 S 3.57-3.60
Cs  0.9502  0.0498  0.2500  2 Cu 3.38, 2 Te 3.54, 6 S 3.57-3.60
Er  0.1882  0.8118  0.0832  5 S 2.64-2.84
Er  0.1882  0.8118  0.4168  5 S 2.64-2.84
Er  0.8118  0.1882  0.5832  5 S 2.64-2.84
Er  0.8118  0.1882  0.9168  5 S 2.64-2.84
Cu  0.3577  0.6423  0.7500  2 Te 2.48, 2 S 2.76
Cu  0.4158  0.5842  0.0373  4 S 2.38-2.47
Cu  0.4158  0.5842  0.4627  4 S 2.38-2.47
Cu  0.5842  0.4158  0.5373  4 S 2.38-2.47
Cu  0.5842  0.4158  0.9627  4 S 2.38-2.47
Cu  0.6423  0.3577  0.2500  2 Te 2.48, 2 S 2.76
Te  0.2442  0.7558  0.2500  2 Cu 2.48
Te  0.7558  0.2442  0.7500  2 Cu 2.48
S  0.1710  0.8290  0.5688  2 Cu 2.42, 1 Er 2.64
S  0.1710  0.8290  0.9312  2 Cu 2.42, 1 Er 2.64
S  0.4372  0.5628  0.6043  2 Cu 2.38-2.47
S  0.4372  0.5628  0.8957  2 Cu 2.38-2.47
S  0.5628  0.4372  0.1043  2 Cu 2.38-2.47
S  0.5628  0.4372  0.3957  2 Cu 2.38-2.47
S  0.8290  0.1710  0.0688  2 Cu 2.42, 1 Er 2.64
S  0.8290  0.1710  0.4312  2 Cu 2.42, 1 Er 2.64

Summary:
The crystal system is orthorhombic. The calculation puts the total DFT energy (no corrections) at -105.9 eV/cell.

---

Below is a relaxed ErGaB4 crystal, with properties calculated at the PBE level.

a = 3.1801 Å, b = 5.1566 Å, c = 7.8987 Å
α = 90.00°, β = 90.00°, γ = 90.00°
Last column: nearest neighbours and their distance in Å.
Atoms (fractional coordinates):
Er  0.0000  0.0000  0.0000  12 B 2.62-2.67
Er  0.5000  0.5000  0.5000  12 B 2.62-2.67
Ga  0.0000  0.0000  0.5000  12 B 2.52-2.76
Ga  0.5000  0.5000  0.0000  12 B 2.52-2.76
B  0.0000  0.3254  0.2626  3 B 1.78-1.80
B  0.0000  0.3254  0.7374  3 B 1.78-1.80
B  0.0000  0.6746  0.2626  3 B 1.78-1.80
B  0.0000  0.6746  0.7374  3 B 1.78-1.80
B  0.5000  0.1746  0.2374  3 B 1.78-1.80
B  0.5000  0.1746  0.7626  3 B 1.78-1.80
B  0.5000  0.8254  0.2374  3 B 1.78-1.80
B  0.5000  0.8254  0.7626  3 B 1.78-1.80

Summary:
The value obtained for the relative energy among the computed polymorphs is 0.00 eV per formula unit. The crystal system is orthorhombic.

---

Below is a relaxed La2AgSe3 crystal, with properties calculated at the PBE level.

a = 8.7317 Å, b = 4.2412 Å, c = 16.7971 Å
α = 90.00°, β = 90.00°, γ = 90.00°
Last column: nearest neighbours and their distance in Å.
Atoms (fractional coordinates):
La  0.0647  0.2500  0.2181  7 Se 3.13-3.21
La  0.2383  0.2500  0.9681  7 Se 3.05-3.33
La  0.2617  0.7500  0.4681  7 Se 3.05-3.33
La  0.4353  0.7500  0.7181  7 Se 3.13-3.21
La  0.5647  0.2500  0.2819  7 Se 3.13-3.21
La  0.7383  0.2500  0.5319  7 Se 3.05-3.33
La  0.7617  0.7500  0.0319  7 Se 3.05-3.33
La  0.9353  0.7500  0.7819  7 Se 3.13-3.21
Ag  0.1123  0.2500  0.6336  4 Se 2.59-2.65
Ag  0.3877  0.7500  0.1336  4 Se 2.59-2.65
Ag  0.6123  0.2500  0.8664  4 Se 2.59-2.65
Ag  0.8877  0.7500  0.3664  4 Se 2.59-2.65
Se  0.0375  0.2500  0.4089  2 Ag 2.59
Se  0.1036  0.7500  0.0789  1 Ag 2.65
Se  0.1993  0.2500  0.7837  1 Ag 2.63
Se  0.3007  0.7500  0.2837  1 Ag 2.63
Se  0.3964  0.2500  0.5789  1 Ag 2.65
Se  0.4625  0.7500  0.9089  2 Ag 2.59
Se  0.5375  0.2500  0.0911  2 Ag 2.59
Se  0.6036  0.7500  0.4211  1 Ag 2.65
Se  0.6993  0.2500  0.7163  1 Ag 2.63
Se  0.8007  0.7500  0.2163  1 Ag 2.63
Se  0.8964  0.2500  0.9211  1 Ag 2.65
Se  0.9625  0.7500  0.5911  2 Ag 2.59

Summary:
The crystal system is orthorhombic. The calculation puts the total DFT energy (no corrections) at -128.6 eV/cell.

---

Below is a relaxed LaPr2Cu4Ge4 crystal, with properties calculated at the PBE level.

a = 12.5760 Å, b = 12.5760 Å, c = 12.5760 Å
α = 160.53°, β = 160.49°, γ = 27.70°
Last column: nearest neighbours and their distance in Å.
Atoms (fractional coordinates):
La  0.0000  0.0000  0.0000  4 Cu 3.18, 8 Ge 3.27
Pr  0.3474  0.8474  0.5000  6 Ge 3.19-3.24, 8 Cu 3.19-3.30
Pr  0.6526  0.1526  0.5000  6 Ge 3.19-3.24, 8 Cu 3.19-3.30
Cu  0.0970  0.5970  0.5000  3 Ge 2.39-2.41
Cu  0.2499  0.2499  0.0000  4 Ge 2.50-2.51
Cu  0.7501  0.7501  0.0000  4 Ge 2.50-2.51
Cu  0.9030  0.4030  0.5000  3 Ge 2.39-2.41
Ge  0.1958  0.6958  0.5000  5 Cu 2.41-2.51
Ge  0.4476  0.4476  0.0000  2 Cu 2.39, 1 Ge 2.56
Ge  0.5524  0.5524  0.0000  2 Cu 2.39, 1 Ge 2.56
Ge  0.8042  0.3042  0.5000  5 Cu 2.41-2.51

Summary:
The crystal system is orthorhombic. The calculation puts the total DFT energy (no corrections) at -54.6 eV/cell.

---

Below is a relaxed Dy2HoMg3Ir2Pd crystal, with properties calculated at the PBE level.

a = 4.0115 Å, b = 7.3389 Å, c = 7.3389 Å
α = 119.96°, β = 90.00°, γ = 90.00°
Last column: nearest neighbours and their distance in Å.
Atoms (fractional coordinates):
Dy  0.0000  0.2080  0.7920  4 Ir 2.98, 1 Pd 3.06, 6 Mg 3.17-3.33
Dy  0.0000  0.7920  0.2080  4 Ir 2.98, 1 Pd 3.06, 6 Mg 3.17-3.33
Ho  0.0000  0.6237  0.6237  4 Ir 2.98, 1 Pd 3.05, 6 Mg 3.17-3.33
Mg  0.5000  0.2083  0.4570  2 Pd 2.71, 2 Ir 2.81-2.82
Mg  0.5000  0.4570  0.2083  2 Pd 2.71, 2 Ir 2.81-2.82
Mg  0.5000  0.9589  0.9589  2 Pd 2.72, 2 Ir 2.80
Ir  0.5000  0.5416  0.8741  3 Mg 2.80-2.82, 2 Ho 2.98, 4 Dy 2.98
Ir  0.5000  0.8741  0.5416  3 Mg 2.80-2.82, 2 Ho 2.98, 4 Dy 2.98
Pd  0.0000  0.2086  0.2086  6 Mg 2.71-2.72

Summary:
The crystal system is orthorhombic. The calculation puts the total DFT energy (no corrections) at -47.6 eV/cell.